The following is a PBE+U calculation of crystalline Co3OF5 at its relaxed geometry, from the Alexandria database.

Values from the calculation:
As for the excess energy over the best structure of this formula in the dataset: 0 meV/atom. As for the calculated density: 4.54 Mg/m³. Its crystal system is triclinic. The value obtained for the final energy is -92.717 eV for the cell shown.

a = 5.6686 Å, b = 5.6858 Å, c = 7.5054 Å
α = 72.02°, β = 71.79°, γ = 70.29°
Last column: magnetic moment on the atom in μB.
Atoms (fractional coordinates):
Co  0.3680  0.3023  0.1657  3.02
F  0.7652  0.7648  0.5399  0.10
O  0.6507  0.0315  0.1648  0.50
F  0.5683  0.5657  0.1296  0.12
Co  0.6691  0.6784  0.3279  2.85
Co  0.6320  0.6977  0.8343  3.02
F  0.3062  0.6926  0.5057  0.09
Co  0.3309  0.3216  0.6721  2.85
O  0.3493  0.9685  0.8352  0.50
Co  0.0000  0.0000  0.0000  2.88
Co  0.0000  0.0000  0.5000  2.77
F  0.4317  0.4343  0.8704  0.12
F  0.2348  0.2352  0.4601  0.10
F  0.0546  0.6191  0.1670  0.10
F  0.1133  0.1014  0.2004  0.10
F  0.6938  0.3074  0.4943  0.09
F  0.8867  0.8986  0.7996  0.10
F  0.9454  0.3809  0.8330  0.10